No. 1
Density functional theory data (PBE) for an optimized crystal structure of CoSbPdW.

abc: 4.4664 4.4664 4.4664
angles: 60.00 60.00 60.00
Closest atoms and distances in Å follow each position.
Element x y z (fractional)
W: 0.5000 0.5000 0.5000  4 Pd 2.74, 4 Co 2.74
Co: 0.7500 0.7500 0.7500  4 Sb 2.74, 4 W 2.74
Sb: 0.0000 0.0000 0.0000  4 Co 2.74, 4 Pd 2.74
Pd: 0.2500 0.2500 0.2500  4 W 2.74, 4 Sb 2.74

Computed properties:
Total DFT energy (no corrections) ... -6.89 eV/atom
Magnetic moment ... 1.43 μB/cell
Polymorph energy (0 for the lowest one) ... 106 meV/atom

---

No. 2
Density functional theory data (PBE) for an optimized crystal structure of MgCoAgSe3.

abc: 6.9342 6.9342 10.1186
angles: 90.00 90.00 150.21
Closest atoms and distances in Å follow each position.
Element x y z (fractional)
Se: 0.1208 0.8792 0.5059  2 Co 2.41, 1 Ag 2.50
Se: 0.8792 0.1208 0.4941  2 Co 2.41, 1 Ag 2.50
Se: 0.8792 0.1208 0.0059  2 Co 2.41, 1 Ag 2.50
Se: 0.5372 0.4628 0.2500  2 Co 2.58, 2 Mg 2.65
Se: 0.1208 0.8792 0.9941  2 Co 2.41, 1 Ag 2.50
Se: 0.4628 0.5372 0.7500  2 Co 2.58, 2 Mg 2.65
Ag: 0.8521 0.1479 0.2500  2 Se 2.50
Ag: 0.1479 0.8521 0.7500  2 Se 2.50
Mg: 0.8165 0.1835 0.7500  4 Se 2.65-2.72, 2 Ag 2.88
Mg: 0.1835 0.8165 0.2500  4 Se 2.65-2.72, 2 Ag 2.88
Co: 0.5000 0.5000 0.5000  6 Se 2.41-2.58
Co: 0.5000 0.5000 0.0000  6 Se 2.41-2.58

Computed properties:
Total DFT energy (no corrections) ... -3.95 eV/atom
Magnetic moment ... 0.00 μB/cell

---

No. 3
Density functional theory data (PBE) for an optimized crystal structure of Ba2AlPtS6.

abc: 6.8290 6.8290 6.8290
angles: 120.00 120.00 60.00
Closest atoms and distances in Å follow each position.
Element x y z (fractional)
S: 0.2499 0.2499 0.2499  1 Pt 2.41, 1 Al 2.42
S: 0.7501 0.2499 0.2499  1 Pt 2.41, 1 Al 2.42
S: 0.2499 0.7501 0.7501  1 Pt 2.41, 1 Al 2.42
S: 0.7501 0.2499 0.7501  1 Pt 2.41, 1 Al 2.42
S: 0.7501 0.7501 0.7501  1 Pt 2.41, 1 Al 2.42
S: 0.2499 0.7501 0.2499  1 Pt 2.41, 1 Al 2.42
Ba: 0.2500 0.2500 0.7500  12 S 3.41
Ba: 0.7500 0.7500 0.2500  12 S 3.41
Al: 0.5000 0.5000 0.5000  6 S 2.42
Pt: 0.0000 0.0000 0.0000  6 S 2.41

Computed properties:
Total DFT energy (no corrections) ... -4.77 eV/atom
Magnetic moment ... 0.00 μB/cell

---

No. 4
Density functional theory data (PBE) for an optimized crystal structure of HgB4Pt.

abc: 2.9989 2.9989 9.6721
angles: 90.00 90.00 120.00
Closest atoms and distances in Å follow each position.
Element x y z (fractional)
B: 0.6667 0.3333 0.6844  3 B 1.73
B: 0.3333 0.6667 0.6844  3 B 1.73
B: 0.3333 0.6667 0.3156  3 B 1.73
B: 0.6667 0.3333 0.3156  3 B 1.73
Hg: 0.0000 0.0000 0.0000  6 Hg 3.00
Pt: 0.0000 0.0000 0.5000  12 B 2.49

Computed properties:
Total DFT energy (no corrections) ... -4.99 eV/atom
Magnetic moment ... 0.01 μB/cell
Polymorph energy (0 for the lowest one) ... 0 meV/atom

---

No. 5
Density functional theory data (PBE) for an optimized crystal structure of HoSi2Au4.

abc: 7.2465 7.2465 4.3276
angles: 90.00 90.00 145.14
Closest atoms and distances in Å follow each position.
Element x y z (fractional)
Ho: 0.0000 0.0000 0.0000  8 Au 3.20-3.22, 8 Si 3.27
Si: 0.4167 0.5833 0.5000  1 Si 2.30, 4 Au 2.49
Si: 0.5833 0.4167 0.5000  1 Si 2.30, 4 Au 2.49
Au: 0.8291 0.1709 0.5000  2 Si 2.49
Au: 0.6721 0.3279 0.0000  2 Si 2.49
Au: 0.1709 0.8291 0.5000  2 Si 2.49
Au: 0.3279 0.6721 0.0000  2 Si 2.49

Computed properties:
Total DFT energy (no corrections) ... -4.51 eV/atom
Magnetic moment ... 0.00 μB/cell

---

No. 6
Density functional theory data (PBE) for an optimized crystal structure of Gd2InGa5.

abc: 4.6415 6.3809 6.3809
angles: 60.58 90.00 90.00
Closest atoms and distances in Å follow each position.
Element x y z (fractional)
Gd: 0.5000 0.3415 0.3415  10 Ga 3.06-3.30, 2 In 3.11
Gd: 0.0000 0.6641 0.6641  10 Ga 3.09-3.22, 2 In 3.22
Ga: 0.0000 0.7005 0.1420  5 Ga 2.82-2.85, 1 In 2.92, 2 Gd 3.06
Ga: 0.5000 0.8467 0.2973  4 Ga 2.80-2.90, 2 In 2.88, 3 Gd 3.09-3.10
Ga: 0.5000 0.2973 0.8467  4 Ga 2.80-2.90, 2 In 2.88, 3 Gd 3.09-3.10
Ga: 0.0000 0.1420 0.7005  5 Ga 2.82-2.85, 1 In 2.92, 2 Gd 3.06
Ga: 0.5000 0.8547 0.8547  6 Ga 2.80-2.82, 2 Gd 3.13
In: 0.0000 0.1532 0.1532  6 Ga 2.88-2.92, 4 Gd 3.11-3.22

Computed properties:
Total DFT energy (no corrections) ... -3.90 eV/atom
Magnetic moment ... 0.00 μB/cell

---

No. 7
Density functional theory data (PBE) for an optimized crystal structure of RbSnOs.

abc: 4.8275 4.8275 4.8275
angles: 60.00 60.00 60.00
Closest atoms and distances in Å follow each position.
Element x y z (fractional)
Os: 0.0000 0.0000 0.0000  4 Sn 2.96, 4 Rb 2.96
Rb: 0.2500 0.2500 0.2500  4 Os 2.96
Sn: 0.7500 0.7500 0.7500  4 Os 2.96

Computed properties:
Total DFT energy (no corrections) ... -4.14 eV/atom
Magnetic moment ... 0.36 μB/cell
Polymorph energy (0 for the lowest one) ... 0 meV/atom

---

No. 8
Density functional theory data (PBE) for an optimized crystal structure of TbLu2Cu4Si2Ge2.

abc: 7.8564 7.8564 7.8564
angles: 149.61 130.40 59.29
Closest atoms and distances in Å follow each position.
Element x y z (fractional)
Lu: 0.6281 0.1281 0.5000  6 Cu 2.94-3.10, 2 Ge 2.94, 4 Si 2.96
Lu: 0.3719 0.8719 0.5000  6 Cu 2.94-3.10, 2 Ge 2.94, 4 Si 2.96
Tb: 0.0000 0.0000 0.0000  4 Si 2.94, 2 Ge 2.98
Cu: 0.6437 0.3354 0.3083  1 Si 2.40, 3 Ge 2.53-2.58, 1 Cu 2.53
Cu: 0.9729 0.6646 0.3083  1 Si 2.40, 3 Ge 2.53-2.58, 1 Cu 2.53
Cu: 0.0271 0.3354 0.6917  1 Si 2.40, 3 Ge 2.53-2.58, 1 Cu 2.53
Cu: 0.3563 0.6646 0.6917  1 Si 2.40, 3 Ge 2.53-2.58, 1 Cu 2.53
Ge: 0.2186 0.2186 0.0000  6 Cu 2.53-2.58
Ge: 0.7814 0.7814 0.0000  6 Cu 2.53-2.58
Si: 0.6822 0.5000 0.1822  2 Cu 2.40, 1 Si 2.40
Si: 0.3178 0.5000 0.8178  2 Cu 2.40, 1 Si 2.40

Computed properties:
Total DFT energy (no corrections) ... -5.05 eV/atom
Magnetic moment ... 0.00 μB/cell
Polymorph energy (0 for the lowest one) ... 10 meV/atom

---

No. 9
Density functional theory data (PBE) for an optimized crystal structure of ScZnInTe3.

abc: 11.1283 4.2142 15.1989
angles: 90.00 90.00 90.00
Closest atoms and distances in Å follow each position.
Element x y z (fractional)
Te: 0.0658 0.2500 0.8850  1 Zn 2.64
Te: 0.9602 0.2500 0.6207  1 Zn 2.66, 2 Sc 2.97
Te: 0.0398 0.7500 0.3793  1 Zn 2.66, 2 Sc 2.97
Te: 0.7633 0.7500 0.8259  2 Zn 2.69, 1 Sc 3.00
Te: 0.4602 0.2500 0.8793  1 Zn 2.66, 2 Sc 2.97
Te: 0.5658 0.2500 0.6150  1 Zn 2.64
Te: 0.2633 0.7500 0.6741  2 Zn 2.69, 1 Sc 3.00
Te: 0.9342 0.7500 0.1150  1 Zn 2.64
Te: 0.7367 0.2500 0.3259  2 Zn 2.69, 1 Sc 3.00
Te: 0.5398 0.7500 0.1207  1 Zn 2.66, 2 Sc 2.97
Te: 0.4342 0.7500 0.3850  1 Zn 2.64
Te: 0.2367 0.2500 0.1741  2 Zn 2.69, 1 Sc 3.00
Sc: 0.5156 0.7500 0.7474  6 Te 2.97-3.02
Sc: 0.9844 0.2500 0.2474  6 Te 2.97-3.02
Sc: 0.4844 0.2500 0.2526  6 Te 2.97-3.02
Sc: 0.0156 0.7500 0.7526  6 Te 2.97-3.02
In: 0.7694 0.7500 0.5094  7 Te 3.44-3.60, 2 Zn 3.78
In: 0.2694 0.7500 0.9906  7 Te 3.44-3.60, 2 Zn 3.78
In: 0.2306 0.2500 0.4906  7 Te 3.44-3.60, 2 Zn 3.78
In: 0.7306 0.2500 0.0094  7 Te 3.44-3.60, 2 Zn 3.78
Zn: 0.2594 0.2500 0.7843  4 Te 2.64-2.69
Zn: 0.7406 0.7500 0.2157  4 Te 2.64-2.69
Zn: 0.7594 0.2500 0.7157  4 Te 2.64-2.69
Zn: 0.2406 0.7500 0.2843  4 Te 2.64-2.69

Computed properties:
Total DFT energy (no corrections) ... -3.99 eV/atom
Magnetic moment ... 0.02 μB/cell
Polymorph energy (0 for the lowest one) ... 0 meV/atom

---

No. 10
Density functional theory data (PBE) for an optimized crystal structure of LuCdCuPb.

abc: 4.9953 4.9953 4.9953
angles: 60.00 60.00 60.00
Closest atoms and distances in Å follow each position.
Element x y z (fractional)
Cu: 0.7500 0.7500 0.7500  4 Pb 3.06, 4 Cd 3.06
Cd: 0.5000 0.5000 0.5000  4 Lu 3.06, 4 Cu 3.06
Pb: 0.0000 0.0000 0.0000  4 Lu 3.06, 4 Cu 3.06
Lu: 0.2500 0.2500 0.2500  4 Pb 3.06, 4 Cd 3.06

Computed properties:
Total DFT energy (no corrections) ... -3.24 eV/atom
Magnetic moment ... 0.00 μB/cell
Polymorph energy (0 for the lowest one) ... 0 meV/atom

---

No. 11
Density functional theory data (PBE) for an optimized crystal structure of SrTa2Tc.

abc: 4.8188 4.8188 4.8188
angles: 60.00 60.00 60.00
Closest atoms and distances in Å follow each position.
Element x y z (fractional)
Sr: 0.7500 0.7500 0.7500  4 Ta 2.95, 4 Tc 2.95
Tc: 0.0000 0.0000 0.0000  4 Sr 2.95, 4 Ta 2.95
Ta: 0.5000 0.5000 0.5000  4 Ta 2.95, 4 Sr 2.95
Ta: 0.2500 0.2500 0.2500  4 Ta 2.95, 4 Tc 2.95

Computed properties:
Total DFT energy (no corrections) ... -8.03 eV/atom
Magnetic moment ... 0.01 μB/cell

---

No. 12
Density functional theory data (PBE) for an optimized crystal structure of LuZnFeNi.

abc: 4.4556 4.4556 4.4556
angles: 60.00 60.00 60.00
Closest atoms and distances in Å follow each position.
Element x y z (fractional)
Ni: 0.7500 0.7500 0.7500  4 Zn 2.73, 4 Fe 2.73
Lu: 0.2500 0.2500 0.2500  4 Fe 2.73, 4 Zn 2.73
Fe: 0.5000 0.5000 0.5000  4 Lu 2.73, 4 Ni 2.73
Zn: 0.0000 0.0000 0.0000  4 Ni 2.73, 4 Lu 2.73

Computed properties:
Total DFT energy (no corrections) ... -4.87 eV/atom
Magnetic moment ... 3.00 μB/cell
Polymorph energy (0 for the lowest one) ... 101 meV/atom